[1]
## Dy8Ge3Te4Pb (GGA-PBE)

Data for Dy8Ge3Te4Pb after structural relaxation.

Lattice parameters (Å, degrees): 8.6722 8.6722 8.6722 59.31 59.31 59.31
Atoms (fractional coordinates):
Dy 0.2313 0.7474 0.7474
Dy 0.2395 0.2395 0.2395
Dy 0.2526 0.2526 0.7687
Dy 0.2526 0.7687 0.2526
Dy 0.7474 0.2313 0.7474
Dy 0.7474 0.7474 0.2313
Dy 0.7605 0.7605 0.7605
Dy 0.7687 0.2526 0.2526
Ge 0.0000 0.0000 0.5000
Ge 0.0000 0.5000 0.0000
Ge 0.5000 0.0000 0.0000
Te 0.0000 0.0000 0.0000
Te 0.0000 0.5000 0.5000
Te 0.5000 0.0000 0.5000
Te 0.5000 0.5000 0.0000
Pb 0.5000 0.5000 0.5000

Total magnetic moment = 0.000 Bohr magnetons per cell
E_form (uncorrected) = -17.798 eV per formula unit

=====

[2]
## Ta6CuRu5 (GGA-PBE)

Data for Ta6CuRu5 after structural relaxation.

Lattice parameters (Å, degrees): 7.5935 7.5935 4.2531 106.16 106.16 55.30
Atoms (fractional coordinates):
Ta 0.0798 0.5875 0.3335
Ta 0.2453 0.7547 0.0000
Ta 0.4125 0.9202 0.6665
Ta 0.5875 0.0798 0.3335
Ta 0.7547 0.2453 0.0000
Ta 0.9202 0.4125 0.6665
Cu 0.5000 0.5000 0.5000
Ru 0.0000 0.0000 0.5000
Ru 0.1720 0.1720 0.1716
Ru 0.3418 0.3418 0.8410
Ru 0.6582 0.6582 0.1590
Ru 0.8280 0.8280 0.8284

Total magnetic moment = 0.000 Bohr magnetons per cell
E_form = -235 meV per atom

=====

[3]
## Tm2In9Hg (GGA-PBE)

Data for Tm2In9Hg after structural relaxation.

Lattice parameters (Å, degrees): 4.5972 4.5972 14.4204 90.00 90.00 90.00
Atoms (fractional coordinates):
Tm 0.0000 0.0000 0.1591
Tm 0.0000 0.0000 0.8409
In 0.0000 0.5000 0.0000
In 0.0000 0.5000 0.3259
In 0.0000 0.5000 0.6741
In 0.5000 0.0000 0.0000
In 0.5000 0.0000 0.3259
In 0.5000 0.0000 0.6741
In 0.5000 0.5000 0.1623
In 0.5000 0.5000 0.5000
In 0.5000 0.5000 0.8377
Hg 0.0000 0.0000 0.5000

Total magnetic moment = 0.000 Bohr magnetons per cell
E_form = -208 meV per atom